Record 1
{
  "formula": "HfOs2SO",
  "functional": "PBE",
  "state": "relaxed",
  "cell": [[-2.4848, -3.1209, -1.6400], [2.9406, -2.8541, 0.9760], [-1.8342, -0.5692, 3.8621]],
  "species": ["Hf", "S", "Os", "Os", "O"],
  "frac_coords": [[0.5000, 0.5000, 0.5000], [0.0000, 0.0000, 0.0000], [0.0000, 0.0000, 0.5000], [0.5000, 0.0000, 0.0000], [0.0000, 0.5000, 0.0000]],
  "energy_ev_per_atom": -7.7594,
  "raw_formation_energy_ev_per_atom": 0.540
}

=====

Record 2
{
  "formula": "TmSc2V",
  "functional": "PBE",
  "state": "relaxed",
  "cell": [[-0.3435, 2.9502, -1.1123], [0.7069, 0.6472, -3.0232], [-10.0178, -1.0573, -4.2325]],
  "species": ["Sc", "Sc", "Tm", "V"],
  "frac_coords": [[0.0810, 0.0810, 0.7570], [0.9190, 0.9190, 0.2430], [0.5000, 0.5000, 0.5000], [0.0000, 0.0000, 0.0000]],
  "energy_ev_per_atom": -6.0266,
  "polymorph_energy_mev_per_atom": 365,
  "formation_enthalpy_0k_ev_per_atom": 0.54
}

=====

Record 3
{
  "formula": "LaPm2NdP4",
  "functional": "PBE",
  "state": "relaxed",
  "cell": [[-2.0257, 0.5527, -3.6128], [-6.3104, -1.0340, 3.3801], [-2.5210, 6.3463, 2.3844]],
  "species": ["La", "Pm", "Pm", "Nd", "P", "P", "P", "P"],
  "frac_coords": [[0.5000, 0.5000, 0.0000], [0.0000, 0.0000, 0.0000], [0.5000, 0.0000, 0.5000], [0.0000, 0.5000, 0.5000], [0.0000, 0.7549, 0.7464], [0.0000, 0.2451, 0.2536], [0.5000, 0.7535, 0.2506], [0.5000, 0.2465, 0.7494]],
  "energy_ev_per_atom": -6.6622,
  "formation_enthalpy_0k_ev_per_atom": -1.56
}

=====

Record 4
{
  "formula": "Na11Tl4Hg9",
  "functional": "PBE",
  "state": "relaxed",
  "cell": [[3.4178, 0.0000, 0.0000], [0.0000, 13.2096, -4.5997], [0.0000, 0.9615, 13.9545]],
  "species": ["Na", "Na", "Na", "Na", "Na", "Na", "Na", "Na", "Na", "Na", "Na", "Tl", "Tl", "Tl", "Tl", "Hg", "Hg", "Hg", "Hg", "Hg", "Hg", "Hg", "Hg", "Hg"],
  "frac_coords": [[0.0000, 0.6058, 0.9556], [0.0000, 0.3942, 0.0444], [0.0000, 0.9556, 0.6058], [0.0000, 0.0444, 0.3942], [0.0000, 0.6312, 0.3688], [0.0000, 0.3688, 0.6312], [0.0000, 0.7978, 0.2022], [0.0000, 0.2022, 0.7978], [0.0000, 0.0000, 0.0000], [0.0000, 0.8002, 0.8002], [0.0000, 0.1998, 0.1998], [0.5000, 0.5846, 0.7353], [0.5000, 0.4154, 0.2646], [0.5000, 0.7353, 0.5846], [0.5000, 0.2646, 0.4154], [0.5000, 0.5942, 0.1573], [0.5000, 0.4058, 0.8427], [0.5000, 0.1573, 0.5942], [0.5000, 0.8427, 0.4058], [0.5000, 0.8071, 0.0052], [0.5000, 0.1929, 0.9948], [0.5000, 0.0052, 0.8071], [0.5000, 0.9948, 0.1929], [0.5000, 0.5000, 0.5000]],
  "energy_ev_per_atom": -1.3045,
  "formation_enthalpy_0k_ev_per_atom": -0.19
}

=====

Record 5
{
  "formula": "Re2PBr",
  "functional": "PBE",
  "state": "relaxed",
  "cell": [[-1.3163, -3.0829, 2.2215], [0.2517, -4.0045, -0.2690], [4.9528, -1.4309, 3.6476]],
  "species": ["Br", "P", "Re", "Re"],
  "frac_coords": [[0.7500, 0.7500, 0.7500], [0.2500, 0.2500, 0.2500], [0.9895, 0.9895, 0.0825], [0.5105, 0.5105, 0.4175]],
  "energy_ev_per_atom": -7.4281,
  "polymorph_energy_mev_per_atom": 269,
  "raw_formation_energy_ev_per_atom": 0.567
}

=====

Record 6
{
  "formula": "ScTlRh",
  "functional": "PBE",
  "state": "relaxed",
  "cell": [[-4.0844, -2.4753, 2.2652], [0.4410, -4.4209, 2.8640], [2.1295, 4.8106, -0.5141]],
  "species": ["Rh", "Sc", "Tl"],
  "frac_coords": [[0.9863, 0.9863, 0.0000], [0.3507, 0.3507, 0.0000], [0.6630, 0.6630, 0.0000]],
  "energy_ev_per_atom": -5.8393,
  "formation_enthalpy_0k_ev_per_atom": -0.49
}